# InPb2Cl | Alexandria via LeMat-Bulk | PBE-GGA | optimized geometry
data_InPb2Cl
_symmetry_space_group_name_H-M 'P 1 m 1'
_symmetry_Int_Tables_number 6
_symmetry_space_group_name_Hall 'P -2y'
_cell_length_a 3.511
_cell_length_b 6.093
_cell_length_c 5.770
_cell_angle_alpha 90.00
_cell_angle_beta 92.81
_cell_angle_gamma 90.00
loop_
_atom_site_label
_atom_site_fract_x
_atom_site_fract_y
_atom_site_fract_z
_atom_site_occupancy
In1 0.000 0.000 0.000 1
Pb1 0.492 0.000 0.501 1
Pb2 0.989 0.500 0.500 1
Cl1 0.033 0.500 0.000 1
# Density in g cm⁻³: 7.605
# E above lowest polymorph in eV/f.u.: 0.00
# Volume in A^3/atom: 30.82